No. 1
First-principles (PBE) data for crystalline CaNdDy2S4 at its relaxed geometry, as listed in Alexandria.

Computed properties:
**Total energy**: -6.088 eV per atom
**Formation energy without anion corrections**: -2.028 eV per atom
**Mass density**: 5.96 g cm⁻³
**Space-group type**: P2/m, No. 10

Unit cell a=6.8860 b=3.9519 c=6.9052 alpha=90.00 beta=109.09 gamma=90.00
Last column: nearest neighbours and their distance in Å.
Element x y z (fractional)
1 Ca 0.0000 0.0000 0.0000  6 S 2.82-2.83
2 Nd 0.0000 0.5000 0.5000  6 S 2.86-2.87
3 Dy 0.5000 0.0000 0.5000  6 S 2.79-2.80
4 Dy 0.5000 0.5000 0.0000  6 S 2.75-2.76
5 S 0.2584 0.5000 0.2485  3 Dy 2.75-2.79, 2 Ca 2.83, 1 Nd 2.86
6 S 0.2608 0.0000 0.7589  3 Dy 2.76-2.80, 1 Ca 2.82, 2 Nd 2.87
7 S 0.7392 0.0000 0.2411  3 Dy 2.76-2.80, 1 Ca 2.82, 2 Nd 2.87
8 S 0.7416 0.5000 0.7515  3 Dy 2.75-2.79, 2 Ca 2.83, 1 Nd 2.86

---

No. 2
First-principles (PBE) data for crystalline Li4HoIn5 at its relaxed geometry, as listed in Alexandria.

Computed properties:
**Total energy**: -2.908 eV per atom
**Energy of formation**: -315 meV/atom
**Mass density**: 6.08 g cm⁻³
**Space-group type**: P4/mmm, No. 123

Unit cell a=3.5172 b=3.5172 c=16.9240 alpha=90.00 beta=90.00 gamma=90.00
Last column: nearest neighbours and their distance in Å.
Element x y z (fractional)
1 Li 0.0000 0.0000 0.0943  8 In 2.95-2.96, 2 Li 3.19-3.20
2 Li 0.0000 0.0000 0.2833  8 In 2.94-2.95, 1 Li 3.20
3 Li 0.0000 0.0000 0.7167  8 In 2.94-2.95, 1 Li 3.20
4 Li 0.0000 0.0000 0.9057  8 In 2.95-2.96, 2 Li 3.19-3.20
5 Ho 0.0000 0.0000 0.5000  8 In 3.25, 4 Ho 3.52
6 In 0.5000 0.5000 0.0000  8 Li 2.95, 2 In 3.21
7 In 0.5000 0.5000 0.1896  8 Li 2.95-2.96, 2 In 3.16-3.21
8 In 0.5000 0.5000 0.3761  4 Li 2.94, 1 In 3.16, 4 Ho 3.25
9 In 0.5000 0.5000 0.6239  4 Li 2.94, 1 In 3.16, 4 Ho 3.25
10 In 0.5000 0.5000 0.8104  8 Li 2.95-2.96, 2 In 3.16-3.21

---

No. 3
First-principles (PBE) data for crystalline Tb2YTm4Mg at its relaxed geometry, as listed in Alexandria.

Computed properties:
**Total energy**: -4.370 eV per atom
**Energy of formation**: 30 meV/atom
**Mass density**: 7.64 g cm⁻³
**Space-group type**: Pmmm, No. 47

Unit cell a=4.9127 b=4.9237 c=9.9487 alpha=90.00 beta=90.00 gamma=90.00
Last column: nearest neighbours and their distance in Å.
Element x y z (fractional)
1 Tb 0.0000 0.0000 0.0000  4 Mg 3.48, 8 Tm 3.48-3.49
2 Tb 0.5000 0.5000 0.5000  4 Y 3.48, 8 Tm 3.51
3 Y 0.0000 0.0000 0.5000  4 Tb 3.48, 8 Tm 3.51
4 Tm 0.0000 0.5000 0.2485  4 Tm 3.48, 2 Mg 3.49, 4 Tb 3.49-3.51, 2 Y 3.51
5 Tm 0.0000 0.5000 0.7515  4 Tm 3.48, 2 Mg 3.49, 4 Tb 3.49-3.51, 2 Y 3.51
6 Tm 0.5000 0.0000 0.2483  4 Tm 3.48, 4 Tb 3.48-3.51, 2 Mg 3.49, 2 Y 3.51
7 Tm 0.5000 0.0000 0.7517  4 Tm 3.48, 4 Tb 3.48-3.51, 2 Mg 3.49, 2 Y 3.51
8 Mg 0.5000 0.5000 0.0000  4 Tb 3.48, 8 Tm 3.49

---

No. 4
First-principles (PBE) data for crystalline Na2MgGa6 at its relaxed geometry, as listed in Alexandria.

Computed properties:
**Total energy**: -2.601 eV per atom
**Energy of formation**: -112 meV/atom
**Mass density**: 4.48 g cm⁻³
**Space-group type**: P6/mmm, No. 191

Unit cell a=7.8481 b=7.8481 c=3.3931 alpha=90.00 beta=90.00 gamma=120.00
Last column: nearest neighbours and their distance in Å.
Element x y z (fractional)
1 Na 0.3333 0.6667 0.0000  12 Ga 3.13, 2 Na 3.39
2 Na 0.6667 0.3333 0.0000  12 Ga 3.13, 2 Na 3.39
3 Mg 0.0000 0.0000 0.0000  12 Ga 3.09, 2 Mg 3.39
4 Ga 0.0000 0.3294 0.5000  3 Ga 2.59-2.68
5 Ga 0.0000 0.6706 0.5000  3 Ga 2.59-2.68
6 Ga 0.3294 0.0000 0.5000  3 Ga 2.59-2.68
7 Ga 0.3294 0.3294 0.5000  3 Ga 2.59-2.68
8 Ga 0.6706 0.0000 0.5000  3 Ga 2.59-2.68
9 Ga 0.6706 0.6706 0.5000  3 Ga 2.59-2.68

---

No. 5
First-principles (PBE) data for crystalline KCuAs2Se at its relaxed geometry, as listed in Alexandria.

Computed properties:
**Distance to the lowest polymorph of the same formula**: 1533 meV/atom
**Total energy**: -1.950 eV per atom
**Formation energy without anion corrections**: 1.645 eV per atom
**Mass density**: 3.26 g cm⁻³
**Space-group type**: P4/mmm, No. 123

Unit cell a=5.5187 b=5.5187 c=5.5486 alpha=90.00 beta=90.00 gamma=90.00
Last column: nearest neighbours and their distance in Å.
Element x y z (fractional)
1 K 0.0000 0.0000 0.0000  4 As 2.76, 2 Se 2.77
2 Cu 0.5000 0.5000 0.5000  4 Se 3.90, 8 As 3.91
3 As 0.0000 0.5000 0.0000  2 K 2.76
4 As 0.5000 0.0000 0.0000  2 K 2.76
5 Se 0.0000 0.0000 0.5000  2 K 2.77

---

No. 6
First-principles (PBE) data for crystalline LaPr2Cd9 at its relaxed geometry, as listed in Alexandria.

Computed properties:
**Total energy**: -2.166 eV per atom
**Energy of formation**: -272 meV/atom
**Mass density**: 7.77 g cm⁻³
**Space-group type**: R-3m, No. 166

Unit cell a=10.2880 b=10.2880 c=10.2880 alpha=34.17 beta=34.17 gamma=34.17
Last column: nearest neighbours and their distance in Å.
Element x y z (fractional)
1 La 0.0000 0.0000 0.0000  18 Cd 3.49-3.89
2 Pr 0.1414 0.1414 0.1414  12 Cd 3.45-3.57, 3 Pr 3.79
3 Pr 0.8586 0.8586 0.8586  12 Cd 3.45-3.57, 3 Pr 3.79
4 Cd 0.0774 0.5876 0.5876  7 Cd 2.96-3.08
5 Cd 0.3351 0.3351 0.3351  6 Cd 2.98-3.03
6 Cd 0.4124 0.4124 0.9226  7 Cd 2.96-3.08
7 Cd 0.4124 0.9226 0.4124  7 Cd 2.96-3.08
8 Cd 0.5000 0.5000 0.5000  6 Cd 2.98
9 Cd 0.5876 0.0774 0.5876  7 Cd 2.96-3.08
10 Cd 0.5876 0.5876 0.0774  7 Cd 2.96-3.08
11 Cd 0.6649 0.6649 0.6649  6 Cd 2.98-3.03
12 Cd 0.9226 0.4124 0.4124  7 Cd 2.96-3.08

---

No. 7
First-principles (PBE) data for crystalline Ti2P2Ir at its relaxed geometry, as listed in Alexandria.

Computed properties:
**Total energy**: -8.004 eV per atom
**Energy of formation**: -909 meV/atom
**Mass density**: 8.38 g cm⁻³
**Space-group type**: P4/mbm, No. 127

Unit cell a=6.1658 b=6.1658 c=3.6489 alpha=90.00 beta=90.00 gamma=90.00
Last column: nearest neighbours and their distance in Å.
Element x y z (fractional)
1 Ti 0.1660 0.3340 0.0000  6 P 2.54-2.60
2 Ti 0.3340 0.8340 0.0000  6 P 2.54-2.60
3 Ti 0.6660 0.1660 0.0000  6 P 2.54-2.60
4 Ti 0.8340 0.6660 0.0000  6 P 2.54-2.60
5 P 0.1315 0.6315 0.5000  1 P 2.29, 2 Ir 2.41, 2 Ti 2.54
6 P 0.3685 0.1315 0.5000  1 P 2.29, 2 Ir 2.41, 2 Ti 2.54
7 P 0.6315 0.8685 0.5000  1 P 2.29, 2 Ir 2.41, 2 Ti 2.54
8 P 0.8685 0.3685 0.5000  1 P 2.29, 2 Ir 2.41, 2 Ti 2.54
9 Ir 0.0000 0.0000 0.5000  4 P 2.41
10 Ir 0.5000 0.5000 0.5000  4 P 2.41

---

No. 8
First-principles (PBE) data for crystalline BaBe2SiBr at its relaxed geometry, as listed in Alexandria.

Computed properties:
**Total energy**: -3.413 eV per atom
**Formation energy without anion corrections**: -0.118 eV per atom
**Mass density**: 3.31 g cm⁻³
**Space-group type**: P4/mmm, No. 123

Unit cell a=4.3798 b=4.3798 c=6.8810 alpha=90.00 beta=90.00 gamma=90.00
Last column: nearest neighbours and their distance in Å.
Element x y z (fractional)
1 Ba 0.0000 0.0000 0.0000  4 Br 3.10, 2 Si 3.44
2 Be 0.0000 0.5000 0.5000  2 Si 2.19
3 Be 0.5000 0.0000 0.5000  2 Si 2.19
4 Si 0.0000 0.0000 0.5000  4 Be 2.19
5 Br 0.5000 0.5000 0.0000  4 Ba 3.10

---

No. 9
First-principles (PBE) data for crystalline Pr2CdPd3 at its relaxed geometry, as listed in Alexandria.

Computed properties:
**Distance to the lowest polymorph of the same formula**: 181 meV/atom
**Total energy**: -4.868 eV per atom
**Energy of formation**: -526 meV/atom
**Mass density**: 8.30 g cm⁻³
**Space-group type**: Immm, No. 71

Unit cell a=6.4716 b=6.4716 c=6.4716 alpha=137.10 beta=127.98 gamma=69.64
Last column: nearest neighbours and their distance in Å.
Element x y z (fractional)
1 Pr 0.1827 0.1827 0.0000  6 Pd 2.89-3.08
2 Pr 0.8173 0.8173 0.0000  6 Pd 2.89-3.08
3 Cd 0.5000 0.5000 0.0000  6 Pd 2.75-2.84
4 Pd 0.0000 0.5000 0.5000  2 Cd 2.84, 4 Pr 3.06
5 Pd 0.3683 0.8683 0.5000  2 Cd 2.75, 1 Pd 2.80, 2 Pr 2.89
6 Pd 0.6317 0.1317 0.5000  2 Cd 2.75, 1 Pd 2.80, 2 Pr 2.89

---

No. 10
First-principles (PBE) data for crystalline Fe2W at its relaxed geometry, as listed in Alexandria.

Computed properties:
**Total energy**: -9.830 eV per atom
**Energy of formation**: 130 meV/atom
**Mass density**: 13.20 g cm⁻³
**Space-group type**: Pnma, No. 62

Unit cell a=4.9997 b=4.0097 c=7.4153 alpha=90.00 beta=90.00 gamma=90.00
Last column: nearest neighbours and their distance in Å.
Element x y z (fractional)
1 Fe 0.0485 0.2500 0.2259  5 W 2.47-2.73, 7 Fe 2.53-2.77
2 Fe 0.1658 0.2500 0.5613  5 W 2.45-2.59, 3 Fe 2.56-2.75
3 Fe 0.3342 0.7500 0.0613  5 W 2.45-2.59, 3 Fe 2.56-2.75
4 Fe 0.4515 0.7500 0.7259  5 W 2.47-2.73, 7 Fe 2.53-2.77
5 Fe 0.5485 0.2500 0.2741  5 W 2.47-2.73, 7 Fe 2.53-2.77
6 Fe 0.6658 0.2500 0.9387  5 W 2.45-2.59, 3 Fe 2.56-2.75
7 Fe 0.8342 0.7500 0.4387  5 W 2.45-2.59, 3 Fe 2.56-2.75
8 Fe 0.9515 0.7500 0.7741  5 W 2.47-2.73, 7 Fe 2.53-2.77
9 W 0.1794 0.2500 0.8945  10 Fe 2.45-2.73
10 W 0.3206 0.7500 0.3945  10 Fe 2.45-2.73
11 W 0.6794 0.2500 0.6055  10 Fe 2.45-2.73
12 W 0.8206 0.7500 0.1055  10 Fe 2.45-2.73

---

No. 11
First-principles (PBE) data for crystalline LiAlTl3 at its relaxed geometry, as listed in Alexandria.

Computed properties:
**Distance to the lowest polymorph of the same formula**: 0 meV/atom
**Total energy**: -2.301 eV per atom
**Energy of formation**: 250 meV/atom
**Mass density**: 6.66 g cm⁻³
**Space-group type**: Pm-3m, No. 221

Unit cell a=5.4448 b=5.4448 c=5.4448 alpha=90.00 beta=90.00 gamma=90.00
Last column: nearest neighbours and their distance in Å.
Element x y z (fractional)
1 Li 0.0000 0.0000 0.0000  12 Tl 3.85
2 Al 0.5000 0.5000 0.5000  6 Tl 2.72
3 Tl 0.0000 0.5000 0.5000  2 Al 2.72
4 Tl 0.5000 0.0000 0.5000  2 Al 2.72
5 Tl 0.5000 0.5000 0.0000  2 Al 2.72

---

No. 12
First-principles (PBE) data for crystalline Fe2BiN2 at its relaxed geometry, as listed in Alexandria.

Computed properties:
**Distance to the lowest polymorph of the same formula**: 0 meV/atom
**Total energy**: -7.047 eV per atom
**Formation energy without anion corrections**: 0.444 eV per atom
**Mass density**: 8.81 g cm⁻³
**Space-group type**: I4/mmm, No. 139

Unit cell a=6.5359 b=6.5359 c=6.5359 alpha=150.94 beta=150.94 gamma=41.56
Last column: nearest neighbours and their distance in Å.
Element x y z (fractional)
1 Fe 0.1743 0.1743 0.0000  4 N 1.88
2 Fe 0.8257 0.8257 0.0000  4 N 1.88
3 Bi 0.5000 0.5000 0.0000  8 Fe 3.15, 4 Bi 3.28, 8 N 3.47
4 N 0.2500 0.7500 0.5000  4 Fe 1.88
5 N 0.7500 0.2500 0.5000  4 Fe 1.88

---

| no. | spin magnetization (μB/f.u.) |
| --- | --- |
| 1 | 0.00 |
| 2 | 0.23 |
| 3 | 0.00 |
| 4 | 0.00 |
| 5 | 0.83 |
| 6 | 0.00 |
| 7 | 0.00 |
| 8 | 0.00 |
| 9 | 0.00 |
| 10 | 0.01 |
| 11 | 0.00 |
| 12 | 0.00 |